DFT (PBE-GGA) results for a geometry-optimized BaCdGe3 structure.

Its crystal system is cubic. The value obtained for the density of states at the Fermi level is 6.90 states/eV/f.u. The calculation puts the calculated formation energy at 1.250 eV/atom. The volume is 41.4 Å³/atom. For the uncorrected energy, the calculation gives -2.0880 eV/atom.

Cell: 5.915 5.915 5.915 Å, 90.00 90.00 90.00°
Sites, in units of the cell vectors:
Ba 0.000 0.000 0.000
Cd 0.500 0.500 0.500
Ge 0.000 0.000 0.500
Ge 0.000 0.500 0.000
Ge 0.500 0.000 0.000

---

DFT (PBE-GGA) results for a geometry-optimized Ba2CdGe2 structure.

Its crystal system is monoclinic. The value obtained for the density of states at the Fermi level is 0.49 states/eV/f.u. The calculation puts the calculated formation energy at -0.496 eV/atom. The volume is 31.0 Å³/atom. For the uncorrected energy, the calculation gives -3.2953 eV/atom.

Cell: 6.400 6.400 11.844 Å, 116.47 116.47 46.92°
Sites, in units of the cell vectors:
Ba 0.083 0.083 0.394
Ba 0.315 0.315 0.828
Ba 0.685 0.685 0.172
Ba 0.917 0.917 0.606
Cd 0.371 0.371 0.149
Cd 0.629 0.629 0.851
Ge 0.083 0.083 0.952
Ge 0.381 0.381 0.395
Ge 0.619 0.619 0.605
Ge 0.917 0.917 0.048

---

DFT (PBE-GGA) results for a geometry-optimized Ba2CdGe2 structure.

Its crystal system is tetragonal. The value obtained for the density of states at the Fermi level is 4.72 states/eV/f.u. The calculation puts the calculated formation energy at -0.180 eV/atom. The volume is 32.7 Å³/atom. For the uncorrected energy, the calculation gives -2.9790 eV/atom.

Cell: 10.968 10.968 10.968 Å, 159.38 159.38 29.33°
Sites, in units of the cell vectors:
Ba 0.114 0.114 0.000
Ba 0.886 0.886 0.000
Cd 0.500 0.500 0.000
Ge 0.250 0.750 0.500
Ge 0.750 0.250 0.500

---

DFT (PBE-GGA) results for a geometry-optimized BaCd3Ge2 structure.

Its crystal system is monoclinic. The value obtained for the density of states at the Fermi level is 1.88 states/eV/f.u. The calculation puts the calculated formation energy at -0.250 eV/atom. The volume is 25.7 Å³/atom. For the uncorrected energy, the calculation gives -2.5670 eV/atom.

Cell: 9.079 9.079 8.490 Å, 115.28 115.28 29.43°
Sites, in units of the cell vectors:
Ba 0.148 0.148 0.062
Ba 0.852 0.852 0.938
Cd 0.046 0.046 0.378
Cd 0.316 0.316 0.562
Cd 0.401 0.401 0.317
Cd 0.599 0.599 0.683
Cd 0.684 0.684 0.438
Cd 0.954 0.954 0.622
Ge 0.198 0.198 0.699
Ge 0.486 0.486 0.836
Ge 0.514 0.514 0.164
Ge 0.802 0.802 0.301

---

DFT (PBE-GGA) results for a geometry-optimized Ba2Cd7Ge structure.

Its crystal system is tetragonal. The value obtained for the density of states at the Fermi level is 5.60 states/eV/f.u. The calculation puts the calculated formation energy at -0.264 eV/atom. The volume is 28.5 Å³/atom. For the uncorrected energy, the calculation gives -1.7510 eV/atom.

Cell: 4.777 4.777 12.495 Å, 90.00 90.00 90.00°
Sites, in units of the cell vectors:
Ba 0.000 0.500 0.240
Ba 0.500 0.000 0.760
Cd 0.000 0.000 0.000
Cd 0.000 0.000 0.500
Cd 0.000 0.500 0.641
Cd 0.000 0.500 0.871
Cd 0.500 0.000 0.129
Cd 0.500 0.000 0.359
Cd 0.500 0.500 0.500
Ge 0.500 0.500 0.000

---

DFT (PBE-GGA) results for a geometry-optimized BaCdGe4 structure.

Its crystal system is cubic. The value obtained for the density of states at the Fermi level is 6.98 states/eV/f.u. The calculation puts the calculated formation energy at -0.067 eV/atom. The volume is 23.9 Å³/atom. For the uncorrected energy, the calculation gives -3.6185 eV/atom.

Cell: 5.874 5.874 5.874 Å, 60.00 60.00 60.00°
Sites, in units of the cell vectors:
Ba 0.000 0.000 0.000
Cd 0.750 0.750 0.750
Ge 0.378 0.378 0.378
Ge 0.378 0.378 0.867
Ge 0.378 0.867 0.378
Ge 0.867 0.378 0.378